Material: ScMn3O
Method: DFT, PBE with a Hubbard U
State: optimized geometry

a b c (Å): 5.0602 5.0602 5.0602
angles (deg): 90.00 90.00 90.00
Closest atoms and distances in Å follow each position.
Sites, in units of the cell vectors:
O1 0.5000 0.5000 0.5000  12 Mn 3.58
Mn1 0.0000 0.0000 0.5000  2 Sc 2.53
Mn2 0.0000 0.5000 0.0000  2 Sc 2.53
Mn3 0.5000 0.0000 0.0000  2 Sc 2.53
Sc1 0.0000 0.0000 0.0000  6 Mn 2.53

Values from the calculation:
For the energy above the lowest structure with this stoichiometry, the calculation gives 1920 meV per atom. Its magnetization is 10.720 Bohr magnetons per cell.